--- P ---
TlH2S (PBE, relaxed); SG = P1 (1)
1.0
-2.203 -1.463 1.011
1.945 0.277 4.706
-1.268 3.973 3.032
S H Tl
1 2 1
Direct
0.457 0.752 0.114
0.947 0.478 0.824
0.965 0.350 0.790
0.457 0.085 0.446

--- Q ---
TlH2S (PBE, relaxed); SG = P1 (1)
1.0
-1.125 -3.591 1.102
2.922 -0.196 2.606
-3.021 0.813 5.821
H Tl S
2 1 1
Direct
0.257 0.237 0.248
0.388 0.372 0.165
0.347 0.278 0.707
0.847 0.778 0.707

Sorted by energy, starting with the most stable: Q, P.